Entry from the Alexandria database: a relaxed Ho2Tc3B4 crystal (PBE).

Unit cell a=6.2398 b=6.2967 c=6.0411 alpha=90.00 beta=107.85 gamma=90.00
Sites, in units of the cell vectors:
1 Ho 0.1928 0.1687 0.0783
2 Ho 0.1928 0.3313 0.5783
3 Ho 0.8072 0.6687 0.4217
4 Ho 0.8072 0.8313 0.9217
5 Tc 0.2541 0.6746 0.2530
6 Tc 0.2541 0.8254 0.7530
7 Tc 0.5000 0.0000 0.5000
8 Tc 0.5000 0.5000 0.0000
9 Tc 0.7459 0.1746 0.2470
10 Tc 0.7459 0.3254 0.7470
11 B 0.0818 0.5384 0.8939
12 B 0.0818 0.9616 0.3939
13 B 0.4943 0.6156 0.6162
14 B 0.4943 0.8844 0.1162
15 B 0.5057 0.1156 0.8838
16 B 0.5057 0.3844 0.3838
17 B 0.9182 0.0384 0.6061
18 B 0.9182 0.4616 0.1061

Computed properties:
Polymorph energy (0 for the lowest one) (meV/atom): 0
Density of states at the Fermi level (states/eV/cell): 7.06
Raw total energy (eV per atom): -7.8940